# KFePt2 | the Alexandria database | PBE-GGA | relaxed
data_KFePt2
_space_group_name_H-M_alt 'F m -3 m'
_space_group_IT_number 225
_space_group_name_Hall '-F 4 2 3'
_cell_length_a 6.623
_cell_length_b 6.623
_cell_length_c 6.623
_cell_angle_alpha 90.00
_cell_angle_beta 90.00
_cell_angle_gamma 90.00
loop_
_atom_site_label
_atom_site_fract_x
_atom_site_fract_y
_atom_site_fract_z
_atom_site_occupancy
K1 0.000 0.000 0.000 1
Fe1 0.000 0.000 0.500 1
Pt1 0.250 0.250 0.250 1
# ΔH_f (0 K) in eV per atom: 0.61

***

# CaIn2Co | the Alexandria database | PBE-GGA | relaxed
data_CaIn2Co
_space_group_name_H-M_alt 'C 1 m 1'
_space_group_IT_number 8
_space_group_name_Hall 'C -2y'
_cell_length_a 7.796
_cell_length_b 4.493
_cell_length_c 6.001
_cell_angle_alpha 90.00
_cell_angle_beta 115.67
_cell_angle_gamma 90.00
loop_
_atom_site_label
_atom_site_fract_x
_atom_site_fract_y
_atom_site_fract_z
_atom_site_occupancy
Ca1 0.000 0.000 0.000 1
In1 0.048 0.500 0.643 1
In2 0.291 0.500 0.373 1
Co1 0.182 0.000 0.544 1
# ΔH_f (0 K) in eV per atom: -0.08

***

# TbY2Sc3As6 | the Alexandria database | PBE-GGA | relaxed
data_TbY2Sc3As6
_space_group_name_H-M_alt 'C 1 2/m 1'
_space_group_IT_number 12
_space_group_name_Hall '-C 2y'
_cell_length_a 6.948
_cell_length_b 12.034
_cell_length_c 6.924
_cell_angle_alpha 90.00
_cell_angle_beta 109.52
_cell_angle_gamma 90.00
loop_
_atom_site_label
_atom_site_fract_x
_atom_site_fract_y
_atom_site_fract_z
_atom_site_occupancy
Tb1 0.000 0.000 0.000 1
Y1 0.000 0.333 0.000 1
Sc1 0.000 0.167 0.500 1
Sc2 0.000 0.500 0.500 1
As1 0.245 0.000 0.734 1
As2 0.245 0.333 0.734 1
# ΔH_f (0 K) in eV per atom: -1.45

***

# Pu2Ga4CuPt3 | the Alexandria database | PBE-GGA | relaxed
data_Pu2Ga4CuPt3
_space_group_name_H-M_alt 'P -4 m 2'
_space_group_IT_number 115
_space_group_name_Hall 'P -4 -2'
_cell_length_a 4.167
_cell_length_b 4.167
_cell_length_c 10.856
_cell_angle_alpha 90.00
_cell_angle_beta 90.00
_cell_angle_gamma 90.00
loop_
_atom_site_label
_atom_site_fract_x
_atom_site_fract_y
_atom_site_fract_z
_atom_site_occupancy
Pu1 0.000 0.500 0.249 1
Ga1 0.000 0.000 0.500 1
Ga2 0.000 0.500 0.871 1
Ga3 0.500 0.500 0.500 1
Cu1 0.500 0.500 0.000 1
Pt1 0.000 0.000 0.000 1
Pt2 0.000 0.500 0.640 1
# ΔH_f (0 K) in eV per atom: -0.64

***

# CaCd2In8 | the Alexandria database | PBE-GGA | relaxed
data_CaCd2In8
_space_group_name_H-M_alt 'C 1 2/m 1'
_space_group_IT_number 12
_space_group_name_Hall '-C 2y'
_cell_length_a 17.112
_cell_length_b 4.645
_cell_length_c 7.557
_cell_angle_alpha 90.00
_cell_angle_beta 105.58
_cell_angle_gamma 90.00
loop_
_atom_site_label
_atom_site_fract_x
_atom_site_fract_y
_atom_site_fract_z
_atom_site_occupancy
Ca1 0.000 0.000 0.000 1
Cd1 0.226 0.500 0.629 1
In1 0.049 0.500 0.718 1
In2 0.095 0.000 0.455 1
In3 0.144 0.500 0.181 1
In4 0.184 0.000 0.905 1
# ΔH_f (0 K) in eV per atom: -0.09

***

# CaTlCo | the Alexandria database | PBE-GGA | relaxed
data_CaTlCo
_space_group_name_H-M_alt 'F -4 3 m'
_space_group_IT_number 216
_space_group_name_Hall 'F -4 2 3'
_cell_length_a 6.912
_cell_length_b 6.912
_cell_length_c 6.912
_cell_angle_alpha 90.00
_cell_angle_beta 90.00
_cell_angle_gamma 90.00
loop_
_atom_site_label
_atom_site_fract_x
_atom_site_fract_y
_atom_site_fract_z
_atom_site_occupancy
Ca1 0.000 0.000 0.000 1
Tl1 0.250 0.250 0.250 1
Co1 0.250 0.250 0.750 1
# ΔH_f (0 K) in eV per atom: 0.79

***

# Zr2HgPt | the Alexandria database | PBE-GGA | relaxed
data_Zr2HgPt
_space_group_name_H-M_alt 'C 1 m 1'
_space_group_IT_number 8
_space_group_name_Hall 'C -2y'
_cell_length_a 11.028
_cell_length_b 3.275
_cell_length_c 4.936
_cell_angle_alpha 90.00
_cell_angle_beta 112.89
_cell_angle_gamma 90.00
loop_
_atom_site_label
_atom_site_fract_x
_atom_site_fract_y
_atom_site_fract_z
_atom_site_occupancy
Zr1 0.000 0.000 0.000 1
Zr2 0.228 0.000 0.664 1
Hg1 0.454 0.000 0.459 1
Pt1 0.223 0.500 0.137 1
# ΔH_f (0 K) in eV per atom: -0.43

***

# CaPmTm2Se4 | the Alexandria database | PBE-GGA | relaxed
data_CaPmTm2Se4
_space_group_name_H-M_alt 'P 1 2/m 1'
_space_group_IT_number 10
_space_group_name_Hall '-P 2y'
_cell_length_a 7.111
_cell_length_b 4.078
_cell_length_c 7.130
_cell_angle_alpha 90.00
_cell_angle_beta 109.06
_cell_angle_gamma 90.00
loop_
_atom_site_label
_atom_site_fract_x
_atom_site_fract_y
_atom_site_fract_z
_atom_site_occupancy
Ca1 0.000 0.000 0.000 1
Pm1 0.000 0.500 0.500 1
Tm1 0.500 0.000 0.500 1
Tm2 0.500 0.500 0.000 1
Se1 0.262 0.500 0.251 1
Se2 0.263 0.000 0.758 1
# Formation energy without anion corrections in eV per atom: -1.789

***

# Li4PS5 | the Alexandria database | PBE-GGA | relaxed
data_Li4PS5
_space_group_name_H-M_alt 'I 4'
_space_group_IT_number 79
_space_group_name_Hall 'I 4'
_cell_length_a 7.829
_cell_length_b 7.829
_cell_length_c 5.733
_cell_angle_alpha 90.00
_cell_angle_beta 90.00
_cell_angle_gamma 90.00
loop_
_atom_site_label
_atom_site_fract_x
_atom_site_fract_y
_atom_site_fract_z
_atom_site_occupancy
Li1 0.105 0.284 0.000 1
P1 0.000 0.000 0.482 1
S1 0.000 0.000 0.116 1
S2 0.073 0.262 0.568 1
# Formation energy without anion corrections in eV per atom: -0.732

***

# CdReN2 | the Alexandria database | PBE-GGA | relaxed
data_CdReN2
_space_group_name_H-M_alt 'I -4 2 d'
_space_group_IT_number 122
_space_group_name_Hall 'I -4 2bw'
_cell_length_a 5.033
_cell_length_b 5.033
_cell_length_c 9.614
_cell_angle_alpha 90.00
_cell_angle_beta 90.00
_cell_angle_gamma 90.00
loop_
_atom_site_label
_atom_site_fract_x
_atom_site_fract_y
_atom_site_fract_z
_atom_site_occupancy
Cd1 0.000 0.000 0.000 1
Re1 0.000 0.000 0.500 1
N1 0.161 0.250 0.625 1
# Formation energy without anion corrections in eV per atom: 0.381

***

# Ca2OsF | the Alexandria database | PBE-GGA | relaxed
data_Ca2OsF
_space_group_name_H-M_alt 'F m -3 m'
_space_group_IT_number 225
_space_group_name_Hall '-F 4 2 3'
_cell_length_a 6.888
_cell_length_b 6.888
_cell_length_c 6.888
_cell_angle_alpha 90.00
_cell_angle_beta 90.00
_cell_angle_gamma 90.00
loop_
_atom_site_label
_atom_site_fract_x
_atom_site_fract_y
_atom_site_fract_z
_atom_site_occupancy
Ca1 0.250 0.250 0.250 1
Os1 0.000 0.000 0.000 1
F1 0.000 0.000 0.500 1
# Formation energy without anion corrections in eV per atom: -0.371

***

# Hf2MgSc | the Alexandria database | PBE-GGA | relaxed
data_Hf2MgSc
_space_group_name_H-M_alt 'P 4 m m'
_space_group_IT_number 99
_space_group_name_Hall 'P 4 -2'
_cell_length_a 3.190
_cell_length_b 3.190
_cell_length_c 8.948
_cell_angle_alpha 90.00
_cell_angle_beta 90.00
_cell_angle_gamma 90.00
loop_
_atom_site_label
_atom_site_fract_x
_atom_site_fract_y
_atom_site_fract_z
_atom_site_occupancy
Hf1 0.000 0.000 0.000 1
Hf2 0.500 0.500 0.238 1
Mg1 0.000 0.000 0.493 1
Sc1 0.500 0.500 0.752 1
# ΔH_f (0 K) in eV per atom: 0.01

***

Across the entries above, M_tot takes the values 3.83 0.00 0.00 10.74 0.00 1.04 0.00 0.00 0.59 0.00 1.00 0.00 μB/f.u., respectively.
Across the entries above, theoretical density takes the values 11092 5761 5607 12470 6792 6102 11692 7128 2070 8908 5881 7776 kg/m³, respectively.